(1)
# RhAu3O | Alexandria via LeMat-Bulk | PBE-GGA | relaxed
data_RhAu3O
_space_group_name_H-M_alt 'P 1'
_space_group_IT_number 1
_space_group_name_Hall 'P 1'
_cell_length_a 4.398
_cell_length_b 4.398
_cell_length_c 4.398
_cell_angle_alpha 90.00
_cell_angle_beta 90.00
_cell_angle_gamma 90.00
loop_
_atom_site_label
_atom_site_type_symbol
_atom_site_fract_x
_atom_site_fract_y
_atom_site_fract_z
_atom_site_occupancy
Rh1 Rh 0.500 0.500 0.500 1
Au1 Au 0.000 0.500 0.000 1
O1 O 0.000 0.000 0.000 1
Au2 Au 0.000 0.000 0.500 1
Au3 Au 0.500 0.000 0.000 1
# crystal system: cubic
# DOS(E_F): 3.9 states/eV/cell
# excess energy over the best structure of this formula in the dataset: 0 meV per atom
# space-group type: Pm-3m (221)

=====

(2)
# RhAuO2 | Alexandria via LeMat-Bulk | PBE-GGA | relaxed
data_RhAuO2
_space_group_name_H-M_alt 'P 1'
_space_group_IT_number 1
_space_group_name_Hall 'P 1'
_cell_length_a 4.047
_cell_length_b 4.047
_cell_length_c 4.047
_cell_angle_alpha 60.00
_cell_angle_beta 60.00
_cell_angle_gamma 60.00
loop_
_atom_site_label
_atom_site_type_symbol
_atom_site_fract_x
_atom_site_fract_y
_atom_site_fract_z
_atom_site_occupancy
Au1 Au 0.500 0.500 0.500 1
Rh1 Rh 0.000 0.000 0.000 1
O1 O 0.750 0.750 0.750 1
O2 O 0.250 0.250 0.250 1
# crystal system: cubic
# DOS(E_F): 5.3 states/eV/cell
# space-group type: Fm-3m (225)

=====

(3)
# RhAu2O | Alexandria via LeMat-Bulk | PBE-GGA | relaxed
data_RhAu2O
_space_group_name_H-M_alt 'P 1'
_space_group_IT_number 1
_space_group_name_Hall 'P 1'
_cell_length_a 6.905
_cell_length_b 6.905
_cell_length_c 5.532
_cell_angle_alpha 51.38
_cell_angle_beta 51.38
_cell_angle_gamma 90.00
loop_
_atom_site_label
_atom_site_type_symbol
_atom_site_fract_x
_atom_site_fract_y
_atom_site_fract_z
_atom_site_occupancy
Rh1 Rh 0.000 0.000 0.000 1
O1 O 0.500 0.500 0.000 1
Au1 Au 0.581 0.125 0.250 1
Au2 Au 0.875 0.831 0.750 1
Au3 Au 0.169 0.625 0.250 1
Au4 Au 0.375 0.419 0.750 1
Rh2 Rh 0.750 0.250 0.500 1
O2 O 0.250 0.750 0.500 1
# crystal system: tetragonal
# DOS(E_F): 9.9 states/eV/cell
# space-group type: I-42d (122)

=====

(4)
# Rh2Au4O | Alexandria via LeMat-Bulk | PBE-GGA | relaxed
data_Rh2Au4O
_space_group_name_H-M_alt 'P 1'
_space_group_IT_number 1
_space_group_name_Hall 'P 1'
_cell_length_a 4.241
_cell_length_b 4.241
_cell_length_c 7.572
_cell_angle_alpha 73.74
_cell_angle_beta 73.74
_cell_angle_gamma 90.00
loop_
_atom_site_label
_atom_site_type_symbol
_atom_site_fract_x
_atom_site_fract_y
_atom_site_fract_z
_atom_site_occupancy
Au1 Au 0.180 0.180 0.640 1
O1 O 0.000 0.000 0.000 1
Au2 Au 0.500 0.000 0.000 1
Rh1 Rh 0.366 0.366 0.269 1
Au3 Au 0.820 0.820 0.360 1
Au4 Au 0.000 0.500 0.000 1
Rh2 Rh 0.634 0.634 0.731 1
# crystal system: tetragonal
# DOS(E_F): 8.8 states/eV/cell
# space-group type: I4/mmm (139)

=====

(5)
# RhAu3O | Alexandria via LeMat-Bulk | PBE-GGA | relaxed
data_RhAu3O
_space_group_name_H-M_alt 'P 1'
_space_group_IT_number 1
_space_group_name_Hall 'P 1'
_cell_length_a 5.007
_cell_length_b 5.007
_cell_length_c 5.007
_cell_angle_alpha 90.00
_cell_angle_beta 90.00
_cell_angle_gamma 90.00
loop_
_atom_site_label
_atom_site_type_symbol
_atom_site_fract_x
_atom_site_fract_y
_atom_site_fract_z
_atom_site_occupancy
O1 O 0.500 0.500 0.500 1
Rh1 Rh 0.000 0.000 0.000 1
Au1 Au 0.000 0.000 0.500 1
Au2 Au 0.000 0.500 0.000 1
Au3 Au 0.500 0.000 0.000 1
# crystal system: cubic
# DOS(E_F): 11.4 states/eV/cell
# excess energy over the best structure of this formula in the dataset: 963 meV per atom
# space-group type: Pm-3m (221)

=====

(6)
# Rh2AuO | Alexandria via LeMat-Bulk | PBE-GGA | relaxed
data_Rh2AuO
_space_group_name_H-M_alt 'P 1'
_space_group_IT_number 1
_space_group_name_Hall 'P 1'
_cell_length_a 4.748
_cell_length_b 4.748
_cell_length_c 7.048
_cell_angle_alpha 70.32
_cell_angle_beta 70.32
_cell_angle_gamma 90.00
loop_
_atom_site_label
_atom_site_type_symbol
_atom_site_fract_x
_atom_site_fract_y
_atom_site_fract_z
_atom_site_occupancy
Rh1 Rh 0.468 0.125 0.250 1
O1 O 0.250 0.750 0.500 1
Rh2 Rh 0.875 0.718 0.750 1
Au1 Au 0.000 0.000 0.000 1
O2 O 0.500 0.500 0.000 1
Au2 Au 0.750 0.250 0.500 1
Rh3 Rh 0.282 0.625 0.250 1
Rh4 Rh 0.375 0.532 0.750 1
# crystal system: tetragonal
# DOS(E_F): 9.0 states/eV/cell
# space-group type: I-42d (122)

=====

(7)
# Sr2Rh3AuO8 | Alexandria via LeMat-Bulk | PBE-GGA | relaxed
data_Sr2Rh3AuO8
_space_group_name_H-M_alt 'P 1'
_space_group_IT_number 1
_space_group_name_Hall 'P 1'
_cell_length_a 6.371
_cell_length_b 6.371
_cell_length_c 6.773
_cell_angle_alpha 61.94
_cell_angle_beta 61.94
_cell_angle_gamma 60.00
loop_
_atom_site_label
_atom_site_type_symbol
_atom_site_fract_x
_atom_site_fract_y
_atom_site_fract_z
_atom_site_occupancy
O1 O 0.761 0.304 0.175 1
O2 O 0.761 0.761 0.175 1
Sr1 Sr 0.124 0.124 0.628 1
O3 O 0.249 0.687 0.815 1
Rh1 Rh 0.001 0.499 0.001 1
O4 O 0.728 0.728 0.816 1
O5 O 0.687 0.249 0.815 1
Rh2 Rh 0.499 0.499 0.001 1
O6 O 0.304 0.761 0.175 1
Rh3 Rh 0.499 0.001 0.001 1
Sr2 Sr 0.504 0.504 0.489 1
O7 O 0.273 0.273 0.182 1
O8 O 0.249 0.249 0.815 1
Au1 Au 0.856 0.856 0.433 1
# crystal system: trigonal
# DOS(E_F): 2.1 states/eV/cell
# space-group type: R3m (160)

=====

(8)
# Sr2RhAuO6 | Alexandria via LeMat-Bulk | PBE-GGA | relaxed
data_Sr2RhAuO6
_space_group_name_H-M_alt 'P 1'
_space_group_IT_number 1
_space_group_name_Hall 'P 1'
_cell_length_a 5.196
_cell_length_b 5.448
_cell_length_c 6.095
_cell_angle_alpha 116.55
_cell_angle_beta 109.18
_cell_angle_gamma 90.00
loop_
_atom_site_label
_atom_site_type_symbol
_atom_site_fract_x
_atom_site_fract_y
_atom_site_fract_z
_atom_site_occupancy
O1 O 0.278 0.676 0.351 1
O2 O 0.188 0.169 0.846 1
Au1 Au 0.500 0.000 0.000 1
Sr1 Sr 0.214 0.234 0.469 1
O3 O 0.812 0.323 0.154 1
O4 O 0.812 0.831 0.154 1
Sr2 Sr 0.786 0.766 0.531 1
O5 O 0.722 0.324 0.649 1
Rh1 Rh 0.000 0.500 0.000 1
O6 O 0.188 0.677 0.846 1
# crystal system: monoclinic
# DOS(E_F): 5.2 states/eV/cell
# space-group type: C2/m (12)

=====

Calculated formation energy from raw total energies in order - 0.63 0.62 0.55 0.66 1.59 0.29 -1.19 -1.41 eV/atom
Calculated final energy in order - -19.004 -18.070 -33.335 -28.178 -14.189 -43.552 -85.014 -57.866 eV for the cell shown